[1]
The following is a DFT calculation (PBE) of LiTcIr2 after structural relaxation.

POSCAR file:
```
LiTcIr2
1.0
2.7753 0.0000 0.0000
0.0000 4.5524 0.0000
0.0000 0.0000 4.4457
Li Ir Tc
1 2 1
Direct
0.5000 0.0000 0.5000
0.0000 0.0000 0.0000
0.5000 0.5000 0.0000
0.0000 0.5000 0.5000
```

Calculated values
Formation energy = 169 meV/atom
Total energy = -7.331 eV per atom
Excess energy over the best structure of this formula in the dataset = 0.284 eV per atom



[2]
The following is a DFT calculation (PBE) of Ac2Zn5In after structural relaxation.

POSCAR file:
```
Ac2Zn5In
1.0
4.7191 0.0000 0.0000
-2.3595 8.6257 0.0000
0.0000 0.0000 9.3455
Zn Ac In
10 4 2
Direct
0.8171 0.6341 0.3914
0.1829 0.3659 0.6086
0.5977 0.1955 0.7500
0.6535 0.3070 0.0108
0.4023 0.8045 0.2500
0.3465 0.6930 0.9892
0.6535 0.3070 0.4892
0.8171 0.6341 0.1086
0.3465 0.6930 0.5108
0.1829 0.3659 0.8914
0.0000 0.0000 0.5000
0.2107 0.4214 0.2500
0.7893 0.5786 0.7500
0.0000 0.0000 0.0000
0.4398 0.8796 0.7500
0.5602 0.1204 0.2500
```

Calculated values
Formation energy = -320 meV/atom
Total energy = -2.486 eV per atom
Excess energy over the best structure of this formula in the dataset = 0.000 eV per atom



[3]
The following is a DFT calculation (PBE) of In2ReTe after structural relaxation.

POSCAR file:
```
In2ReTe
1.0
-0.1180 -3.4592 0.8872
3.2974 0.2353 1.3560
-2.6208 1.6504 6.0867
In Re Te
2 1 1
Direct
0.0000 0.0000 0.4597
0.0000 0.0000 0.0403
0.5000 0.5000 0.2500
0.5000 0.5000 0.7500
```

Calculated values
Formation energy without anion corrections = 0.621 eV/atom
Total energy = -4.646 eV per atom



[4]
The following is a DFT calculation (PBE) of Tm6TlSe4 after structural relaxation.

POSCAR file:
```
Tm6TlSe4
1.0
-1.1202 -2.6177 2.7564
6.9510 -0.1411 -0.1579
0.6254 14.8000 14.3093
Tm Se Tl
12 8 2
Direct
0.2301 0.4602 0.9073
0.2301 0.4602 0.5927
0.0505 0.1010 0.1641
0.7699 0.5398 0.4073
0.6464 0.2928 0.7500
0.5000 0.0000 0.0000
0.9495 0.8990 0.8359
0.7699 0.5398 0.0927
0.5000 0.0000 0.5000
0.3536 0.7072 0.2500
0.9495 0.8990 0.6641
0.0505 0.1010 0.3359
0.8587 0.7174 0.9627
0.1413 0.2826 0.0373
0.8587 0.7174 0.5373
0.5861 0.1722 0.8782
0.5861 0.1722 0.6218
0.1413 0.2826 0.4627
0.4139 0.8278 0.1218
0.4139 0.8278 0.3782
0.3240 0.6480 0.7500
0.6760 0.3520 0.2500
```

Calculated values
Formation energy without anion corrections = -1.287 eV/atom
Total energy = -5.209 eV per atom



[5]
The following is a DFT calculation (PBE) of PrHoCdHg after structural relaxation.

POSCAR file:
```
PrHoCdHg
1.0
-2.1349 -3.0603 0.3249
2.8679 -2.1219 -1.1409
2.3211 -0.8350 7.3872
Pr Ho Cd Hg
1 1 1 1
Direct
0.5000 0.5000 0.1077
0.5000 0.5000 0.6021
0.0000 0.0000 0.8368
0.0000 0.0000 0.3813
```

Calculated values
Formation energy = -395 meV/atom
Total energy = -3.039 eV per atom
Excess energy over the best structure of this formula in the dataset = 0.000 eV per atom



[6]
The following is a DFT calculation (PBE) of LaYNi after structural relaxation.

POSCAR file:
```
LaYNi
1.0
6.8739 -0.0159 0.0170
5.9914 3.3714 0.0130
0.8824 0.2378 3.3789
Ni Y La
1 1 1
Direct
0.3261 0.3261 0.6739
0.7077 0.7077 0.2923
0.9662 0.9662 0.0338
```

Calculated values
Formation energy = -187 meV/atom
Total energy = -5.911 eV per atom
Excess energy over the best structure of this formula in the dataset = 0.040 eV per atom